# 1
## La7Tm4Mg (PBE)

Data for a relaxed La7Tm4Mg crystal.

formation energy from the elements: 0.19 eV per atom
VASP energy: -4.31 eV per atom

abc: 5.6983 6.3701 13.2621
angles: 75.63 77.60 63.43
Fractional positions:
Tm: 0.9099 0.5541 0.6262
La: 0.5000 0.0000 0.0000
Tm: 0.5500 0.6751 0.2249
La: 0.8450 0.0525 0.2573
Tm: 0.0901 0.4459 0.3738
Tm: 0.4500 0.3249 0.7751
La: 0.7673 0.5682 0.8972
La: 0.2327 0.4318 0.1028
La: 0.6362 0.1972 0.5304
Mg: 0.0000 0.0000 0.0000
La: 0.3638 0.8028 0.4696
La: 0.1550 0.9475 0.7427

***

# 2
## Ce2PuSi6 (PBE)

Data for a relaxed Ce2PuSi6 crystal.

VASP energy: -6.79 eV per atom
formation energy without anion corrections: -0.26 eV per atom
energy above the most stable polymorph in this dataset: 290 kJ/mol of formula units

abc: 3.8080 7.5884 7.5884
angles: 66.22 75.47 75.47
Fractional positions:
Si: 0.3087 0.4113 0.9713
Ce: 0.1192 0.3808 0.3808
Si: 0.5000 0.2780 0.7220
Si: 0.3087 0.9713 0.4113
Pu: 0.0000 0.0000 0.0000
Si: 0.5000 0.7220 0.2780
Ce: 0.8808 0.6192 0.6192
Si: 0.6913 0.0287 0.5887
Si: 0.6913 0.5887 0.0287

***

# 3
## AcMgCdPd2 (PBE)

Data for a relaxed AcMgCdPd2 crystal.

formation energy from the elements: -0.57 eV per atom
VASP energy: -3.97 eV per atom

abc: 5.8081 5.8519 7.5038
angles: 112.95 90.00 90.00
Fractional positions:
Pd: 0.2966 0.3498 0.6995
Ac: 0.2325 0.7500 0.5000
Cd: 0.0000 0.0000 0.0000
Mg: 0.5000 0.7500 0.0000
Cd: 0.0000 0.5000 0.0000
Pd: 0.7034 0.6502 0.3005
Pd: 0.2966 0.1502 0.3005
Pd: 0.7034 0.8498 0.6995
Mg: 0.5000 0.2500 0.0000
Ac: 0.7675 0.2500 0.5000

***

# 4
## AcMg2Ga2 (PBE)

Data for a relaxed AcMg2Ga2 crystal.

formation energy from the elements: 0.41 eV per atom
VASP energy: -2.26 eV per atom

abc: 4.0199 4.0199 10.9062
angles: 100.62 100.62 90.00
Fractional positions:
Mg: 0.7500 0.2500 0.5000
Ac: 0.0000 0.0000 0.0000
Ga: 0.1501 0.1501 0.3002
Mg: 0.2500 0.7500 0.5000
Ga: 0.8499 0.8499 0.6998